Here is a relaxed structure of HfTi2S from Alexandria. Energies are from PBE.

* formation energy from raw total energies: -589 meV/atom
* electronic total energy: -8.06 eV/atom
* DOS(E_F): 13.57 states/eV/cell

Cell and atoms, written as CIF:
```
data_HfTi2S
_chemical_formula_sum 'Hf3 Ti6 S3'
_cell_length_a 3.2360
_cell_length_b 3.2360
_cell_length_c 23.7034
_cell_angle_alpha 90.00
_cell_angle_beta 90.00
_cell_angle_gamma 120.00
_space_group_name_H-M_alt 'R 3 m'
_space_group_IT_number 160
_space_group_name_Hall 'R 3 -2"'
loop_
_atom_site_label
_atom_site_type_symbol
_atom_site_fract_x
_atom_site_fract_y
_atom_site_fract_z
Hf1 Hf 0.0000 0.0000 0.0000
Ti1 Ti 0.0000 0.0000 0.5666
Ti2 Ti 0.0000 0.0000 0.7672
S1 S 0.0000 0.0000 0.1677
```